## one
Compound: Tl3AsS3
Source: Alexandria via LeMat-Bulk
Functional: PBEsol
Structure: optimized geometry

a b c (Å): 5.635 12.075 21.187
angles (deg): 90.00 90.00 90.00
Space group Pbca (No. 61)
Unique sites:
1 Tl 0.045 0.069 0.193 (multiplicity 8)
2 Tl 0.088 0.673 0.474 (multiplicity 8)
3 Tl 0.094 0.223 0.815 (multiplicity 8)
4 As 0.044 0.052 0.583 (multiplicity 8)
5 S 0.114 0.111 0.683 (multiplicity 8)
6 S 0.119 0.630 0.090 (multiplicity 8)
7 S 0.140 0.055 0.917 (multiplicity 8)

Output
**Calculated density**: 7.23 g/cm³

***

## two
Compound: Tl3AsS3
Source: Alexandria via LeMat-Bulk
Functional: PBEsol
Structure: optimized geometry

a b c (Å): 9.3979 9.3979 6.9282
angles (deg): 90.00 90.00 120.00
Space group R3m (No. 160, hexagonal axes)
Unique sites:
1 Tl 0.2054 0.4108 0.0000 (multiplicity 9)
2 As 0.0000 0.0000 0.7543 (multiplicity 3)
3 S 0.2083 0.4166 0.5663 (multiplicity 9)

Output
**Calculated density**: 7.37 g/cm³

***

Name the most stable of them. one.

***

## one
Compound: SbAs2
Source: Alexandria via LeMat-Bulk
Functional: PBEsol
Structure: optimized geometry

a b c (Å): 3.966 11.989 5.668
angles (deg): 90.00 90.00 90.00
Space group Cmcm (No. 63)
Unique sites:
1 Sb 0.000 0.166 0.250 (multiplicity 4)
2 As 0.000 0.161 0.750 (multiplicity 4)
3 As 0.000 0.495 0.250 (multiplicity 4)

Output
**Calculated density**: 6.69 g/cm³

***

## two
Compound: SbAs2
Source: Alexandria via LeMat-Bulk
Functional: PBEsol
Structure: optimized geometry

a b c (Å): 13.136 3.993 5.821
angles (deg): 90.00 110.30 90.00
Space group C2/m (No. 12)
Unique sites:
1 Sb 0.167 0.000 0.447 (multiplicity 4)
2 As 0.022 0.500 0.808 (multiplicity 4)
3 As 0.156 0.000 0.907 (multiplicity 4)

Output
**Calculated density**: 6.30 g/cm³

***

Name the most stable of them. two.

***

## one
Compound: SbAs2
Source: Alexandria via LeMat-Bulk
Functional: PBEsol
Structure: optimized geometry

a b c (Å): 3.521 15.224 5.031
angles (deg): 90.00 90.00 90.00
Space group Cmcm (No. 63)
Unique sites:
1 Sb 0.000 0.106 0.250 (multiplicity 4)
2 As 0.000 0.207 0.750 (multiplicity 4)
3 As 0.000 0.414 0.250 (multiplicity 4)

Output
**Calculated density**: 6.69 g/cm³

***

## two
Compound: SbAs2
Source: Alexandria via LeMat-Bulk
Functional: PBEsol
Structure: optimized geometry

a b c (Å): 3.9876 3.9876 4.8875
angles (deg): 90.00 90.00 120.00
Space group P-3m1 (No. 164)
Unique sites:
1 Sb 0.0000 0.0000 0.0000 (multiplicity 1)
2 As 0.3333 0.6667 0.3472 (multiplicity 2)

Output
**Calculated density**: 6.70 g/cm³

***

Name the most stable of them. two.